Record 1
Here is a relaxed structure of CsMnRuAu2 from Alexandria via LeMat-Bulk. Energies are from PBE.

Lattice parameters (Å, degrees): 5.3514 4.6802 5.3514 90.00 90.00 90.00
Last column: nearest neighbours and their distance in Å.
Positions (direct):
1 Ru 0.0000 0.0000 0.0000  2 Mn 2.34
2 Au 0.5000 0.0000 0.0000  2 Ru 2.68
3 Cs 0.5000 0.5000 0.5000  8 Au 3.55, 4 Mn 3.78
4 Au 0.0000 0.0000 0.5000  2 Ru 2.68
5 Mn 0.0000 0.5000 0.0000  2 Ru 2.34

Summary:
Its space group is P4/mmm, No. 123. The energy of formation comes out at 0.574 eV/atom.



Record 2
Here is a relaxed structure of Cs2MnAuS4 from Alexandria via LeMat-Bulk. Energies are from PBE.

Lattice parameters (Å, degrees): 5.8508 7.6487 12.3764 84.81 76.33 67.51
Last column: nearest neighbours and their distance in Å.
Positions (direct):
1 Cs 0.1778 0.0000 0.6444  8 S 3.53-3.94
2 S 0.8475 0.8204 0.8947  1 Mn 2.16
3 S 0.2578 0.1796 0.8947  1 Mn 2.16
4 Cs 0.5722 0.5000 0.8556  8 S 3.53-3.94
5 Au 0.7500 0.5000 0.5000  4 S 2.49
6 S 0.1874 0.3204 0.3947  1 Mn 2.16
7 Cs 0.9278 0.5000 0.1444  8 S 3.53-3.94
8 Mn 0.5000 0.0000 0.0000  4 S 2.16
9 S 0.4922 0.3204 0.6053  1 Mn 2.16
10 Mn 0.2500 0.5000 0.5000  4 S 2.16
11 S 0.9025 0.6796 0.6053  1 Mn 2.16
12 Cs 0.8222 0.0000 0.3556  8 S 3.53-3.94
13 Au 0.0000 0.0000 0.0000  4 S 2.49
14 S 0.4179 0.6796 0.3947  1 Mn 2.16
15 S 0.5626 0.1796 0.1053  1 Mn 2.16
16 S 0.3321 0.8204 0.1053  1 Mn 2.16

Summary:
Its formation energy from raw total energies is -5.6 eV per formula unit. Its space group is Fddd, No. 70.



Record 3
Here is a relaxed structure of CsMn2SnAu from Alexandria via LeMat-Bulk. Energies are from PBE.

Lattice parameters (Å, degrees): 5.0792 6.1080 5.0792 90.00 90.00 90.00
Last column: nearest neighbours and their distance in Å.
Positions (direct):
1 Au 0.5000 0.5000 0.5000  4 Sn 3.59, 8 Mn 3.97
2 Cs 0.0000 0.0000 0.0000  4 Mn 2.54
3 Sn 0.0000 0.5000 0.0000  2 Cs 3.05
4 Mn 0.0000 0.0000 0.5000  2 Cs 2.54
5 Mn 0.5000 0.0000 0.0000  2 Cs 2.54

Summary:
Its space group is P4/mmm, No. 123. The energy of formation comes out at 2.113 eV/atom.



Record 4
Here is a relaxed structure of CsMn2TcAu from Alexandria via LeMat-Bulk. Energies are from PBE.

Lattice parameters (Å, degrees): 5.0846 5.6746 5.0846 90.00 90.00 90.00
Last column: nearest neighbours and their distance in Å.
Positions (direct):
1 Cs 0.0000 0.0000 0.0000  4 Mn 2.54, 2 Au 2.84
2 Tc 0.5000 0.5000 0.5000  4 Au 3.60, 8 Mn 3.81
3 Au 0.0000 0.5000 0.0000  2 Cs 2.84
4 Mn 0.0000 0.0000 0.5000  2 Cs 2.54
5 Mn 0.5000 0.0000 0.0000  2 Cs 2.54

Summary:
Its space group is P4/mmm, No. 123. The energy of formation comes out at 2.698 eV/atom.



Values for total magnetic moment, μB per formula unit, ordered as above
3.620 1.999 7.107 11.647
Values for D(E_F), states/eV/f.u., ordered as above
4.51 0.02 5.76 5.00